Entry 1:
A plane-wave DFT calculation with PBE was carried out for a relaxed ZrAsSeBr2 crystal.

Structure (extended XYZ):
```
5
Lattice="-1.0052 -1.1903 -4.8826 4.7958 -1.7154 -0.5691 -1.5582 -4.8555 1.5045" Properties=species:S:1:pos:R:3 pbc="T T T"
Br 2.3979 -0.8577 -0.2846
Br -0.5026 -0.5952 -2.4413
Se -0.7791 -2.4278 0.7523
As 0.0000 0.0000 0.0000
Zr 1.1162 -3.8806 -1.9736
```



Entry 2:
A plane-wave DFT calculation with PBE was carried out for a relaxed ZrAsSeBr2 crystal.

Structure (extended XYZ):
```
5
Lattice="-2.0450 4.6193 -1.9392 -0.0130 -2.0995 -4.9873 -4.8376 -1.8155 0.7769" Properties=species:S:1:pos:R:3 pbc="T T T"
Br -0.0065 -1.0497 -2.4937
As -3.4478 0.3522 -3.0748
Br -1.0225 2.3097 -0.9696
Zr 0.0000 0.0000 0.0000
Se -2.4188 -0.9078 0.3884
```



| no. | density of states at the Fermi level (states/eV/atom) | total DFT energy (no corrections) (eV per atom) |
| --- | --- | --- |
| 1 | 1.1977 | -3.636 |
| 2 | 0.4785 | -4.278 |